*i*
Entry from Alexandria: crystalline Ba2InSe at its relaxed geometry (GGA-PBEsol).

Calculated values
The value obtained for the density is 5.82 Mg/m³. The value obtained for the size of the total moment is 0.0 μB/f.u. As for the density of states at the Fermi level: 2.99 states/eV/f.u.

Structure (CIF):
```
data_Ba2InSe
_space_group_name_H-M_alt 'P 1'
_space_group_IT_number 1
_cell_length_a 3.956
_cell_length_b 5.815
_cell_length_c 5.812
_cell_angle_alpha 90.00
_cell_angle_beta 90.00
_cell_angle_gamma 90.00
loop_
_space_group_symop_operation_xyz
'x,y,z'
loop_
_atom_site_label
_atom_site_type_symbol
_atom_site_fract_x
_atom_site_fract_y
_atom_site_fract_z
_atom_site_occupancy
Ba1 Ba 0.125 0.000 0.500 1
Ba2 Ba 0.125 0.500 0.000 1
In1 In 0.625 0.000 0.000 1
Se1 Se 0.625 0.500 0.500 1
```

---

*ii*
Entry from Alexandria: crystalline Ba2InSe at its relaxed geometry (GGA-PBEsol).

Calculated values
The value obtained for the density is 5.73 Mg/m³. The value obtained for the size of the total moment is 0.0 μB/f.u. As for the density of states at the Fermi level: 4.71 states/eV/f.u.

Structure (CIF):
```
data_Ba2InSe
_space_group_name_H-M_alt 'P 1'
_space_group_IT_number 1
_cell_length_a 5.769
_cell_length_b 5.769
_cell_length_c 5.769
_cell_angle_alpha 60.00
_cell_angle_beta 60.00
_cell_angle_gamma 60.00
loop_
_space_group_symop_operation_xyz
'x,y,z'
loop_
_atom_site_label
_atom_site_type_symbol
_atom_site_fract_x
_atom_site_fract_y
_atom_site_fract_z
_atom_site_occupancy
Ba1 Ba 0.750 0.750 0.750 1
In1 In 0.000 0.000 0.000 1
Se1 Se 0.500 0.500 0.500 1
Ba2 Ba 0.250 0.250 0.250 1
```

---

Least stable of them? *ii*.

---

*i*
Entry from Alexandria: crystalline Ba2SrIn at its relaxed geometry (GGA-PBEsol).

Calculated values
The value obtained for the density is 4.41 Mg/m³. The value obtained for the size of the total moment is 0.0 μB/f.u. As for the density of states at the Fermi level: 3.92 states/eV/f.u.

Structure (CIF):
```
data_Ba2SrIn
_space_group_name_H-M_alt 'P 1'
_space_group_IT_number 1
_cell_length_a 4.225
_cell_length_b 6.318
_cell_length_c 7.734
_cell_angle_alpha 114.11
_cell_angle_beta 105.85
_cell_angle_gamma 90.00
loop_
_space_group_symop_operation_xyz
'x,y,z'
loop_
_atom_site_label
_atom_site_type_symbol
_atom_site_fract_x
_atom_site_fract_y
_atom_site_fract_z
_atom_site_occupancy
Ba1 Ba 0.997 0.997 0.993 1
Sr1 Sr 0.199 0.699 0.399 1
In1 In 0.506 0.506 0.011 1
Ba2 Ba 0.798 0.298 0.597 1
```

---

*ii*
Entry from Alexandria: crystalline Ba2SrIn at its relaxed geometry (GGA-PBEsol).

Calculated values
The value obtained for the density is 4.29 Mg/m³. The value obtained for the size of the total moment is 0.0 μB/f.u. As for the density of states at the Fermi level: 3.02 states/eV/f.u.

Structure (CIF):
```
data_Ba2SrIn
_space_group_name_H-M_alt 'P 1'
_space_group_IT_number 1
_cell_length_a 4.245
_cell_length_b 4.245
_cell_length_c 10.242
_cell_angle_alpha 90.00
_cell_angle_beta 90.00
_cell_angle_gamma 90.00
loop_
_space_group_symop_operation_xyz
'x,y,z'
loop_
_atom_site_label
_atom_site_type_symbol
_atom_site_fract_x
_atom_site_fract_y
_atom_site_fract_z
_atom_site_occupancy
Sr1 Sr 0.500 0.500 0.500 1
Ba1 Ba 0.000 0.000 0.189 1
In1 In 0.500 0.500 0.000 1
Ba2 Ba 0.000 0.000 0.811 1
```

---

*iii*
Entry from Alexandria: crystalline Ba2SrIn at its relaxed geometry (GGA-PBEsol).

Calculated values
The value obtained for the density is 4.35 Mg/m³. The value obtained for the size of the total moment is 0.0 μB/f.u. As for the density of states at the Fermi level: 4.78 states/eV/f.u.

Structure (CIF):
```
data_Ba2SrIn
_space_group_name_H-M_alt 'P 1'
_space_group_IT_number 1
_cell_length_a 4.131
_cell_length_b 4.131
_cell_length_c 10.682
_cell_angle_alpha 90.00
_cell_angle_beta 90.00
_cell_angle_gamma 90.00
loop_
_space_group_symop_operation_xyz
'x,y,z'
loop_
_atom_site_label
_atom_site_type_symbol
_atom_site_fract_x
_atom_site_fract_y
_atom_site_fract_z
_atom_site_occupancy
Ba1 Ba 0.500 0.500 0.316 1
Sr1 Sr 0.500 0.500 0.683 1
Ba2 Ba 0.000 0.000 0.988 1
In1 In 0.000 0.000 0.513 1
```

---

Least stable of them? *i*.

---

*i*
Entry from Alexandria: crystalline Ba2SrIn2 at its relaxed geometry (GGA-PBEsol).

Calculated values
The value obtained for the density is 4.86 Mg/m³. The value obtained for the size of the total moment is 0.0 μB/f.u. As for the density of states at the Fermi level: 4.32 states/eV/f.u.

Structure (CIF):
```
data_Ba2SrIn2
_space_group_name_H-M_alt 'P 1'
_space_group_IT_number 1
_cell_length_a 5.174
_cell_length_b 5.174
_cell_length_c 8.402
_cell_angle_alpha 107.93
_cell_angle_beta 107.93
_cell_angle_gamma 90.00
loop_
_space_group_symop_operation_xyz
'x,y,z'
loop_
_atom_site_label
_atom_site_type_symbol
_atom_site_fract_x
_atom_site_fract_y
_atom_site_fract_z
_atom_site_occupancy
In1 In 0.409 0.409 0.818 1
Ba1 Ba 0.750 0.250 0.500 1
Ba2 Ba 0.250 0.750 0.500 1
In2 In 0.591 0.591 0.182 1
Sr1 Sr 0.000 0.000 0.000 1
```

---

*ii*
Entry from Alexandria: crystalline Ba2SrIn2 at its relaxed geometry (GGA-PBEsol).

Calculated values
The value obtained for the density is 4.91 Mg/m³. The value obtained for the size of the total moment is 0.0 μB/f.u. As for the density of states at the Fermi level: 5.12 states/eV/f.u.

Structure (CIF):
```
data_Ba2SrIn2
_space_group_name_H-M_alt 'P 1'
_space_group_IT_number 1
_cell_length_a 4.355
_cell_length_b 9.589
_cell_length_c 9.589
_cell_angle_alpha 90.00
_cell_angle_beta 90.00
_cell_angle_gamma 90.00
loop_
_space_group_symop_operation_xyz
'x,y,z'
loop_
_atom_site_label
_atom_site_type_symbol
_atom_site_fract_x
_atom_site_fract_y
_atom_site_fract_z
_atom_site_occupancy
In1 In 0.000 0.876 0.624 1
Sr1 Sr 0.000 0.500 0.500 1
Sr2 Sr 0.000 0.000 0.000 1
Ba1 Ba 0.500 0.669 0.831 1
Ba2 Ba 0.500 0.831 0.331 1
In2 In 0.000 0.376 0.876 1
Ba3 Ba 0.500 0.169 0.669 1
In3 In 0.000 0.624 0.124 1
Ba4 Ba 0.500 0.331 0.169 1
In4 In 0.000 0.124 0.376 1
```

---

Least stable of them? *i*.

---

*i*
Entry from Alexandria: crystalline BaInTc at its relaxed geometry (GGA-PBEsol).

Calculated values
The value obtained for the density is 7.71 Mg/m³. The value obtained for the size of the total moment is 0.3 μB/f.u. As for the density of states at the Fermi level: 4.49 states/eV/f.u.

Structure (CIF):
```
data_BaInTc
_space_group_name_H-M_alt 'P 1'
_space_group_IT_number 1
_cell_length_a 3.463
_cell_length_b 3.463
_cell_length_c 7.265
_cell_angle_alpha 90.00
_cell_angle_beta 90.00
_cell_angle_gamma 120.00
loop_
_space_group_symop_operation_xyz
'x,y,z'
loop_
_atom_site_label
_atom_site_type_symbol
_atom_site_fract_x
_atom_site_fract_y
_atom_site_fract_z
_atom_site_occupancy
In1 In 0.333 0.667 0.612 1
Tc1 Tc 0.667 0.333 0.357 1
Ba1 Ba 0.000 0.000 0.032 1
```

---

*ii*
Entry from Alexandria: crystalline BaInTc at its relaxed geometry (GGA-PBEsol).

Calculated values
The value obtained for the density is 6.66 Mg/m³. The value obtained for the size of the total moment is 1.2 μB/f.u. As for the density of states at the Fermi level: 4.99 states/eV/f.u.

Structure (CIF):
```
data_BaInTc
_space_group_name_H-M_alt 'P 1'
_space_group_IT_number 1
_cell_length_a 4.631
_cell_length_b 4.631
_cell_length_c 4.701
_cell_angle_alpha 90.00
_cell_angle_beta 90.00
_cell_angle_gamma 120.00
loop_
_space_group_symop_operation_xyz
'x,y,z'
loop_
_atom_site_label
_atom_site_type_symbol
_atom_site_fract_x
_atom_site_fract_y
_atom_site_fract_z
_atom_site_occupancy
Tc1 Tc 0.667 0.333 0.500 1
In1 In 0.333 0.667 0.500 1
Ba1 Ba 0.000 0.000 0.000 1
```

---

*iii*
Entry from Alexandria: crystalline BaInTc at its relaxed geometry (GGA-PBEsol).

Calculated values
The value obtained for the density is 7.38 Mg/m³. The value obtained for the size of the total moment is 0.0 μB/f.u. As for the density of states at the Fermi level: 2.14 states/eV/f.u.

Structure (CIF):
```
data_BaInTc
_space_group_name_H-M_alt 'P 1'
_space_group_IT_number 1
_cell_length_a 4.812
_cell_length_b 4.812
_cell_length_c 4.812
_cell_angle_alpha 60.00
_cell_angle_beta 60.00
_cell_angle_gamma 60.00
loop_
_space_group_symop_operation_xyz
'x,y,z'
loop_
_atom_site_label
_atom_site_type_symbol
_atom_site_fract_x
_atom_site_fract_y
_atom_site_fract_z
_atom_site_occupancy
In1 In 0.500 0.500 0.500 1
Ba1 Ba 0.000 0.000 0.000 1
Tc1 Tc 0.250 0.250 0.250 1
```

---

Least stable of them? *i*.